DFT (PBE-GGA) results for a geometry-optimized CuSi2Pd structure.

Calculated values
- VASP energy (eV per cell) = -38.90
- ΔE_f (raw) (kcal/mol of atoms) = 3.94
- space-group type = I-42d (122)

a = 6.895 Å, b = 6.895 Å, c = 5.505 Å
α = 51.22°, β = 51.22°, γ = 90.00°
Fractional coordinates of all 8 atoms:
1 Pd 0.750 0.250 0.500
2 Si 0.127 0.625 0.250
3 Si 0.875 0.873 0.750
4 Cu 0.500 0.500 0.000
5 Pd 0.000 0.000 0.000
6 Si 0.375 0.377 0.750
7 Si 0.623 0.125 0.250
8 Cu 0.250 0.750 0.500